K2CoRe | the Alexandria database | SCAN | PBEsol geometry; magnetization = 1.0546 μB per atom; SG = F-43m, No. 216; DFT formation energy = 1.85 eV per atom; mass density = 6.47 g/cm3; energy above the lowest structure with this stoichiometry = 0.9223 eV/atom
1.0
4.895 0.000 0.000
2.448 4.239 0.000
2.448 1.413 3.997
Co K Re
1 2 1
direct
0.500 0.500 0.500
0.000 0.000 0.000
0.750 0.750 0.750
0.250 0.250 0.250